Ta3BiO: relaxed, PBE-GGA.

a b c (Å): 5.171 5.171 5.171
angles (deg): 90.00 90.00 90.00
Atoms (fractional coordinates):
Ta: 0.000 0.000 0.500
Ta: 0.000 0.500 0.000
Ta: 0.500 0.000 0.000
Bi: 0.000 0.000 0.000
O: 0.500 0.500 0.500

## Properties
space-group type = No. 221
crystal system = cubic
energy above the lowest structure with this stoichiometry = 3225 meV/atom

***

TaBi6O12: relaxed, PBE-GGA.

a b c (Å): 6.764 6.764 6.764
angles (deg): 99.64 99.64 99.64
Atoms (fractional coordinates):
Ta: 0.000 0.000 0.000
Bi: 0.139 0.588 0.296
Bi: 0.296 0.139 0.588
Bi: 0.412 0.704 0.861
Bi: 0.588 0.296 0.139
Bi: 0.704 0.861 0.412
Bi: 0.861 0.412 0.704
O: 0.025 0.705 0.923
O: 0.077 0.975 0.295
O: 0.180 0.429 0.561
O: 0.295 0.077 0.975
O: 0.429 0.561 0.180
O: 0.439 0.820 0.571
O: 0.561 0.180 0.429
O: 0.571 0.439 0.820
O: 0.705 0.923 0.025
O: 0.820 0.571 0.439
O: 0.923 0.025 0.705
O: 0.975 0.295 0.077

## Properties
space-group type = No. 148
crystal system = trigonal

***

Ta2BiO: relaxed, PBE-GGA.

a b c (Å): 4.612 4.612 4.612
angles (deg): 60.00 60.00 60.00
Atoms (fractional coordinates):
Ta: 0.250 0.250 0.250
Ta: 0.750 0.750 0.750
Bi: 0.000 0.000 0.000
O: 0.500 0.500 0.500

## Properties
space-group type = No. 225
crystal system = cubic
energy above the lowest structure with this stoichiometry = 622 meV/atom

***

Number 1: density of states at the Fermi level 10.488 states/eV per cell, formation energy from raw total energies 2982 meV per atom. Number 2: density of states at the Fermi level 13.216 states/eV per cell, formation energy from raw total energies -1496 meV per atom. Number 3: density of states at the Fermi level 6.882 states/eV per cell, formation energy from raw total energies 473 meV per atom.